Computed, not measured: crystalline CeHoHg6 at its relaxed geometry at the PBE level of DFT.

Geometry as CIF:
```
data_CeHoHg6
_space_group_name_H-M_alt 'P 1'
_space_group_IT_number 1
_cell_length_a 5.034
_cell_length_b 6.746
_cell_length_c 6.746
_cell_angle_alpha 60.15
_cell_angle_beta 90.00
_cell_angle_gamma 90.00
loop_
_space_group_symop_operation_xyz
'x,y,z'
loop_
_atom_site_label
_atom_site_fract_x
_atom_site_fract_y
_atom_site_fract_z
Ce1 0.000 0.000 0.000
Ho1 0.500 0.672 0.672
Hg1 0.000 0.002 0.500
Hg2 0.000 0.500 0.002
Hg3 0.000 0.505 0.505
Hg4 0.500 0.171 0.171
Hg5 0.500 0.175 0.660
Hg6 0.500 0.660 0.175
```

N(E_F) = 12.16 states/eV/f.u.
crystal system = orthorhombic
symmetry = Amm2, No. 38
total moment = 1.1 μB/f.u.
energy relative to the elements = -0.312 eV/atom
excess energy over the best structure of this formula in the dataset = 0 meV per atom



Computed, not measured: crystalline BaScIn2 at its relaxed geometry at the PBE level of DFT.

Geometry as CIF:
```
data_BaScIn2
_space_group_name_H-M_alt 'P 1'
_space_group_IT_number 1
_cell_length_a 3.813
_cell_length_b 3.824
_cell_length_c 8.122
_cell_angle_alpha 90.00
_cell_angle_beta 90.00
_cell_angle_gamma 90.00
loop_
_space_group_symop_operation_xyz
'x,y,z'
loop_
_atom_site_label
_atom_site_fract_x
_atom_site_fract_y
_atom_site_fract_z
Ba1 0.000 0.000 0.000
Sc1 0.000 0.000 0.500
In1 0.500 0.500 0.305
In2 0.500 0.500 0.695
```

N(E_F) = 2.91 states/eV/f.u.
crystal system = orthorhombic
symmetry = Pmmm, No. 47
total moment = 0.0 μB/f.u.
energy relative to the elements = -0.380 eV/atom



Final energy per entry: -1.85, -3.81 eV/atom